(1)
Density functional theory data (PBE-GGA) for an optimized crystal structure of LaTb3Y6Ho2.

Cell: 6.193 6.193 11.851 Å, 94.98 94.98 119.96°
Sites, in units of the cell vectors:
1 Tb 0.833 0.167 0.500
2 Tb 0.500 0.500 0.500
3 Tb 0.167 0.833 0.500
4 La 0.000 0.000 0.000
5 Y 0.750 0.750 0.252
6 Y 0.250 0.250 0.748
7 Y 0.581 0.916 0.748
8 Y 0.084 0.419 0.252
9 Y 0.419 0.084 0.252
10 Y 0.916 0.581 0.748
11 Ho 0.667 0.333 0.000
12 Ho 0.333 0.667 0.000

## Properties
- Space-group type: No. 12

=====

(2)
Density functional theory data (PBE-GGA) for an optimized crystal structure of La2TbY2Ho.

Cell: 3.395 6.755 17.762 Å, 90.00 90.00 90.00°
Sites, in units of the cell vectors:
1 Y 0.000 0.749 0.828
2 Y 0.500 0.751 0.328
3 Y 0.500 0.249 0.672
4 Y 0.000 0.251 0.172
5 Tb 0.500 0.500 0.000
6 Tb 0.000 0.000 0.500
7 La 0.500 0.757 0.653
8 La 0.000 0.743 0.153
9 La 0.000 0.257 0.847
10 La 0.500 0.243 0.347
11 Ho 0.000 0.000 0.000
12 Ho 0.500 0.500 0.500

## Properties
- Space-group type: No. 58

=====

(3)
Density functional theory data (PBE-GGA) for an optimized crystal structure of LaTb5YHo2.

Cell: 9.097 9.097 9.715 Å, 117.92 117.92 90.00°
Sites, in units of the cell vectors:
1 Tb 0.168 0.075 0.743
2 Tb 0.425 0.332 0.257
3 Tb 0.832 0.925 0.257
4 Tb 0.075 0.575 0.743
5 Tb 0.500 0.500 0.000
6 Tb 0.668 0.168 0.743
7 Tb 0.000 0.000 0.000
8 Tb 0.925 0.425 0.257
9 Tb 0.575 0.668 0.743
10 Tb 0.332 0.832 0.257
11 Ho 0.889 0.611 0.000
12 Ho 0.111 0.389 0.000
13 Ho 0.389 0.889 0.000
14 Ho 0.611 0.111 0.000
15 La 0.750 0.750 0.500
16 La 0.250 0.250 0.500
17 Y 0.250 0.750 0.500
18 Y 0.750 0.250 0.500

## Properties
- Space-group type: No. 140

=====

Number 1: density 6.33 Mg/m³, energy of formation 0.25 eV/f.u., energy -0.2037 Ha/atom. Number 2: density 6.36 Mg/m³, energy of formation 1.50 eV/f.u., energy -0.1867 Ha/atom. Number 3: density 7.45 Mg/m³, energy of formation 2.60 eV/f.u., energy -0.1678 Ha/atom.